Material: GaSeN
Method: DFT, PBE-GGA
State: optimized geometry

Unit cell a=3.275 b=5.537 c=14.139 alpha=92.77 beta=90.02 gamma=90.01
Fractional coordinates of all 12 atoms:
1 Ga 0.249 0.406 0.256
2 Ga 0.251 0.088 0.759
3 Ga 0.749 0.912 0.241
4 Ga 0.751 0.594 0.744
5 Se 0.250 0.148 0.978
6 Se 0.250 0.589 0.450
7 Se 0.750 0.411 0.550
8 Se 0.750 0.852 0.022
9 N 0.249 0.072 0.251
10 N 0.251 0.425 0.749
11 N 0.749 0.575 0.251
12 N 0.751 0.928 0.749

Summary:
energy	-4.9276	eV/atom
Fermi-level density of states	3.22	states/eV per cell
size of the total moment	0.0	μB/cell
crystal system	triclinic
formation energy (no corrections)	18	meV per atom
space group	P-1, No. 2